A plane-wave DFT calculation with PBE was carried out for an optimized crystal structure of Li4Pd2Au.

## Properties
DOS(E_F) = 2.80 states/eV per cell
space group = No. 139
E = -3.22 eV/atom

extended XYZ file:
```
7
Lattice="-4.262 -2.099 0.714 2.210 -4.148 0.994 1.196 4.254 3.486" Properties=species:S:1:pos:R:3 pbc="T T T"
Li -2.131 -1.050 0.357
Li 1.190 -1.509 2.667
Li 1.105 -2.074 0.497
Li -2.046 -0.485 2.526
Au 0.000 0.000 0.000
Pd 0.118 0.783 3.005
Pd -0.974 -2.776 2.188
```